Below is a geometry-optimized PrGdNO structure, with properties calculated at the PBE level.

The space group is Pmc2_1 (No. 26) and the conventional cell measures 4.090, 7.099 and 5.100 Å, with angles of 90.00, 90.00 and 90.00 degrees. Symmetry generates all atoms from Pr at (0.000, 0.165, 0.000), Gd at (0.500, 0.331, 0.501), N at (0.000, 0.176, 0.501) and O at (0.500, 0.345, 0.998).

For the spin magnetization, the calculation gives 0.01 μB per formula unit. Its volume is 18.5 Å³/atom. The offset from the most stable computed form is 65 meV/atom.